Below is Ni2AsPt after structural relaxation, with properties calculated at the PBE-GGA level.

Results
- energy relative to the elements (meV/atom) = -58
- theoretical density (g cm⁻³) = 11.42
- total energy (eV per atom) = -5.621

abc: 6.7185 6.7185 5.3665
angles: 51.25 51.25 90.00
Sites, in units of the cell vectors:
Ni: 0.8750 0.8432 0.7500
As: 0.5000 0.5000 0.0000
Ni: 0.5932 0.1250 0.2500
Ni: 0.3750 0.4068 0.7500
Pt: 0.7500 0.2500 0.5000
Pt: 0.0000 0.0000 0.0000
As: 0.2500 0.7500 0.5000
Ni: 0.1568 0.6250 0.2500